1.
DFT (PBE-GGA) results for crystalline CsSrCuRh2 at its relaxed geometry.

- formation energy from the elements (meV per atom) = 1489

Geometry as extended XYZ:
```
5
Lattice="5.174 0.000 0.000 0.000 5.174 0.000 0.000 0.000 6.493" Properties=species:S:1:pos:R:3 pbc="T T T"
Cs 0.000 0.000 0.000
Sr 0.000 0.000 3.247
Cu 2.587 2.587 0.000
Rh 0.000 2.587 3.247
Rh 2.587 0.000 3.247
```


2.
DFT (PBE-GGA) results for crystalline La5Tb4Hg at its relaxed geometry.

- formation energy from the elements (meV per atom) = -16

Geometry as extended XYZ:
```
10
Lattice="4.162 0.000 0.000 0.000 4.162 0.000 0.000 0.000 19.410" Properties=species:S:1:pos:R:3 pbc="T T T"
La 0.000 0.000 0.000
La 0.000 0.000 3.851
La 0.000 0.000 7.982
La 0.000 0.000 11.428
La 0.000 0.000 15.559
Tb 2.081 2.081 1.939
Tb 2.081 2.081 5.840
Tb 2.081 2.081 13.570
Tb 2.081 2.081 17.471
Hg 2.081 2.081 9.705
```


3.
DFT (PBE-GGA) results for crystalline LiTm2Mn at its relaxed geometry.

- formation energy from the elements (meV per atom) = 90

Geometry as extended XYZ:
```
4
Lattice="3.395 0.000 0.000 0.000 3.395 0.000 0.000 0.000 7.948" Properties=species:S:1:pos:R:3 pbc="T T T"
Li 0.000 0.000 0.000
Tm 1.697 1.697 2.286
Tm 1.697 1.697 5.662
Mn 0.000 0.000 3.974
```


4.
DFT (PBE-GGA) results for crystalline Ho6Er3Cd at its relaxed geometry.

- formation energy from the elements (meV per atom) = 84

Geometry as extended XYZ:
```
20
Lattice="4.753 -6.942 0.000 4.753 6.942 0.000 0.000 0.000 9.193" Properties=species:S:1:pos:R:3 pbc="T T T"
Ho 4.753 5.999 4.597
Ho 1.919 1.107 6.298
Ho 3.084 2.086 0.236
Ho 1.919 -1.107 1.702
Ho 4.753 2.737 5.673
Ho 3.084 -2.086 4.833
Ho 6.422 2.086 0.236
Ho 4.753 -2.737 1.077
Ho 7.587 1.107 6.298
Ho 6.422 -2.086 4.833
Ho 7.587 -1.107 1.702
Ho 4.753 -5.999 0.000
Er 1.689 1.996 3.122
Er 1.689 -1.996 7.719
Er 4.753 0.359 3.062
Er 4.753 -0.359 7.658
Er 7.817 1.996 3.122
Er 7.817 -1.996 7.719
Cd 4.753 3.474 2.612
Cd 4.753 -3.474 7.209
```


5.
DFT (PBE-GGA) results for crystalline PmCuO at its relaxed geometry.

- E_form (uncorrected) (eV per atom) = -1.605

Geometry as extended XYZ:
```
12
Lattice="6.565 0.000 0.000 0.000 3.758 0.000 -1.657 0.000 10.148" Properties=species:S:1:pos:R:3 pbc="T T T"
Pm 0.277 0.000 2.296
Pm 1.349 1.879 7.851
Pm 3.560 1.879 2.296
Pm 4.631 0.000 7.851
Cu 0.261 0.000 5.551
Cu 1.365 1.879 4.597
Cu 3.544 1.879 5.551
Cu 4.647 0.000 4.597
O -0.829 1.879 8.491
O 2.455 0.000 1.657
O 2.453 0.000 8.491
O 5.737 1.879 1.657
```


6.
DFT (PBE-GGA) results for crystalline Rb2MgUO6 at its relaxed geometry.

- E_form (uncorrected) (eV per atom) = -2.194

Geometry as extended XYZ:
```
10
Lattice="0.000 4.233 4.233 4.233 0.000 4.233 4.233 4.233 0.000" Properties=species:S:1:pos:R:3 pbc="T T T"
Rb 2.117 2.117 2.117
Rb 6.350 6.350 6.350
Mg 0.000 0.000 0.000
U 4.233 4.233 4.233
O 4.233 4.233 2.170
O 4.233 2.170 4.233
O 6.297 4.233 4.233
O 2.170 4.233 4.233
O 4.233 6.297 4.233
O 4.233 4.233 6.297
```


7.
DFT (PBE-GGA) results for crystalline RbNbPd2Br at its relaxed geometry.

- E_form (uncorrected) (eV per atom) = -0.208

Geometry as extended XYZ:
```
10
Lattice="3.451 0.000 0.000 0.000 3.451 0.000 0.000 0.000 19.160" Properties=species:S:1:pos:R:3 pbc="T T T"
Rb 0.000 0.000 0.000
Rb 1.726 1.726 9.580
Nb 0.000 0.000 15.146
Nb 1.726 1.726 5.566
Pd 0.000 0.000 4.156
Pd 0.000 0.000 6.877
Pd 1.726 1.726 13.736
Pd 1.726 1.726 16.457
Br 0.000 0.000 12.002
Br 1.726 1.726 2.422
```


8.
DFT (PBE-GGA) results for crystalline ErPaPtRh at its relaxed geometry.

- formation energy from the elements (meV per atom) = -1034

Geometry as extended XYZ:
```
8
Lattice="4.247 0.000 0.000 0.000 3.688 0.000 0.000 0.000 10.974" Properties=species:S:1:pos:R:3 pbc="T T T"
Er 0.000 0.000 0.000
Er 0.000 1.844 5.487
Pa 2.123 0.000 7.949
Pa 2.123 1.844 2.462
Pt 2.123 0.000 4.912
Pt 2.123 1.844 10.399
Rh 0.000 0.000 2.834
Rh 0.000 1.844 8.321
```


9.
DFT (PBE-GGA) results for crystalline Mo2PRu at its relaxed geometry.

- formation energy from the elements (meV per atom) = 17

Geometry as extended XYZ:
```
4
Lattice="2.911 0.000 0.000 0.000 3.997 0.000 0.000 0.000 5.041" Properties=species:S:1:pos:R:3 pbc="T T T"
Mo 0.000 0.000 0.000
Mo 1.455 1.999 1.470
P 0.000 0.000 2.557
Ru 1.455 1.999 3.895
```


10.
DFT (PBE-GGA) results for crystalline Cs2CaPSe4 at its relaxed geometry.

- E_form (uncorrected) (eV per atom) = -0.899

Geometry as extended XYZ:
```
16
Lattice="0.000 7.404 13.223 3.335 0.000 13.223 3.335 7.404 0.000" Properties=species:S:1:pos:R:3 pbc="T T T"
Cs 2.501 5.553 1.478
Cs 4.169 9.255 8.090
Cs 2.501 5.553 18.356
Cs 4.169 9.255 24.967
Ca 0.834 1.851 3.306
Ca 5.836 12.957 23.140
P 2.501 5.553 9.917
P 4.169 9.255 16.528
Se 3.847 4.123 8.581
Se 3.847 6.983 11.253
Se 5.514 7.825 17.865
Se 5.514 10.685 15.192
Se 1.156 4.123 11.253
Se 1.156 6.983 8.581
Se 2.823 7.825 15.192
Se 2.823 10.685 17.865
```


11.
DFT (PBE-GGA) results for crystalline CrFe2Ir at its relaxed geometry.

- formation energy from the elements (meV per atom) = -3

Geometry as extended XYZ:
```
8
Lattice="5.181 0.000 0.000 0.000 7.273 0.000 0.000 0.000 2.650" Properties=species:S:1:pos:R:3 pbc="T T T"
Cr 0.000 0.000 0.000
Cr 2.590 3.637 0.000
Fe 1.295 1.818 1.325
Fe 1.295 5.455 1.325
Fe 3.886 1.818 1.325
Fe 3.886 5.455 1.325
Ir 0.000 3.637 0.000
Ir 2.590 0.000 0.000
```


12.
DFT (PBE-GGA) results for crystalline Pm2InOs at its relaxed geometry.

- formation energy from the elements (meV per atom) = -90

Geometry as extended XYZ:
```
4
Lattice="5.111 0.000 0.000 0.000 5.111 0.000 0.000 0.000 3.746" Properties=species:S:1:pos:R:3 pbc="T T T"
Pm 0.000 2.555 0.000
Pm 2.555 0.000 0.000
In 0.000 0.000 1.873
Os 2.555 2.555 1.873
```